No. 1
# KAl2FePd

KAl2FePd after structural relaxation (PBE, Alexandria).

Results
formation enthalpy at 0 K: 1.921 eV/atom
SG: P4/mmm (123)

Unit cell a=5.451 b=5.451 c=4.936 alpha=90.00 beta=90.00 gamma=90.00
Sites, in units of the cell vectors:
K1 0.000 0.000 0.000
Al1 0.000 0.500 0.000
Al2 0.500 0.000 0.000
Fe1 0.500 0.500 0.500
Pd1 0.000 0.000 0.500

***

No. 2
# Tc3Sn7

Tc3Sn7 after structural relaxation (PBE, Alexandria).

Results
formation enthalpy at 0 K: 0.036 eV/atom
SG: Im-3m (229)

Unit cell a=8.292 b=8.292 c=8.292 alpha=109.47 beta=109.47 gamma=109.47
Sites, in units of the cell vectors:
Tc1 0.000 0.356 0.356
Tc2 0.000 0.644 0.644
Tc3 0.356 0.000 0.356
Tc4 0.356 0.356 0.000
Tc5 0.644 0.000 0.644
Tc6 0.644 0.644 0.000
Sn1 0.000 0.000 0.319
Sn2 0.000 0.000 0.681
Sn3 0.000 0.319 0.000
Sn4 0.000 0.681 0.000
Sn5 0.250 0.500 0.750
Sn6 0.250 0.750 0.500
Sn7 0.319 0.000 0.000
Sn8 0.319 0.319 0.319
Sn9 0.500 0.250 0.750
Sn10 0.500 0.750 0.250
Sn11 0.681 0.000 0.000
Sn12 0.681 0.681 0.681
Sn13 0.750 0.250 0.500
Sn14 0.750 0.500 0.250

***

No. 3
# NaGaGe4

NaGaGe4 after structural relaxation (PBE, Alexandria).

Results
formation enthalpy at 0 K: 0.144 eV/atom
SG: F-43m (216)

Unit cell a=5.601 b=5.601 c=5.601 alpha=60.00 beta=60.00 gamma=60.00
Sites, in units of the cell vectors:
Na1 0.000 0.000 0.000
Ga1 0.250 0.250 0.250
Ge1 0.126 0.625 0.625
Ge2 0.625 0.126 0.625
Ge3 0.625 0.625 0.126
Ge4 0.625 0.625 0.625

***

No. 4
# Tb2Ho5Er

Tb2Ho5Er after structural relaxation (PBE, Alexandria).

Results
formation enthalpy at 0 K: 0.187 eV/atom
SG: P-1 (2)
ΔE to the lowest computed polymorph: 170.6 meV per atom

Unit cell a=5.794 b=8.509 c=10.759 alpha=89.99 beta=89.98 gamma=73.34
Sites, in units of the cell vectors:
Tb1 0.151 0.454 0.390
Tb2 0.153 0.454 0.109
Tb3 0.847 0.546 0.891
Tb4 0.849 0.546 0.610
Ho1 0.202 0.126 0.585
Ho2 0.202 0.126 0.914
Ho3 0.249 0.062 0.250
Ho4 0.298 0.729 0.916
Ho5 0.299 0.729 0.583
Ho6 0.701 0.271 0.417
Ho7 0.702 0.271 0.084
Ho8 0.751 0.938 0.750
Ho9 0.798 0.874 0.086
Ho10 0.798 0.874 0.415
Er1 0.458 0.368 0.750
Er2 0.542 0.632 0.250

***

No. 5
# Rb2SmOs3O12

Rb2SmOs3O12 after structural relaxation (PBE, Alexandria).

Results
SG: R-3m (166)
E_form (uncorrected): -1.475 eV per atom

Unit cell a=7.575 b=7.575 c=7.575 alpha=58.13 beta=58.13 gamma=58.13
Sites, in units of the cell vectors:
Rb1 0.120 0.120 0.120
Rb2 0.880 0.880 0.880
Sm1 0.500 0.500 0.500
Os1 0.000 0.500 0.500
Os2 0.500 0.000 0.500
Os3 0.500 0.500 0.000
O1 0.128 0.585 0.585
O2 0.200 0.200 0.578
O3 0.200 0.578 0.200
O4 0.415 0.415 0.872
O5 0.415 0.872 0.415
O6 0.422 0.800 0.800
O7 0.578 0.200 0.200
O8 0.585 0.128 0.585
O9 0.585 0.585 0.128
O10 0.800 0.422 0.800
O11 0.800 0.800 0.422
O12 0.872 0.415 0.415

***

No. 6
# InMo2Pt

InMo2Pt after structural relaxation (PBE, Alexandria).

Results
formation enthalpy at 0 K: 0.186 eV/atom
SG: F-43m (216)

Unit cell a=4.577 b=4.577 c=4.577 alpha=60.00 beta=60.00 gamma=60.00
Sites, in units of the cell vectors:
In1 0.000 0.000 0.000
Mo1 0.250 0.250 0.250
Mo2 0.500 0.500 0.500
Pt1 0.750 0.750 0.750

***

No. 7
# Li5Ca3Ga

Li5Ca3Ga after structural relaxation (PBE, Alexandria).

Results
formation enthalpy at 0 K: -0.062 eV/atom
SG: P-62m (189)

Unit cell a=7.688 b=7.688 c=4.672 alpha=90.00 beta=90.00 gamma=120.00
Sites, in units of the cell vectors:
Li1 0.000 0.221 0.000
Li2 0.221 0.000 0.000
Li3 0.333 0.667 0.000
Li4 0.667 0.333 0.000
Li5 0.779 0.779 0.000
Ca1 0.000 0.595 0.500
Ca2 0.405 0.405 0.500
Ca3 0.595 0.000 0.500
Ga1 0.000 0.000 0.500

***

No. 8
# Co2Re

Co2Re after structural relaxation (PBE, Alexandria).

Results
formation enthalpy at 0 K: 0.092 eV/atom
SG: I4/mmm (139)
ΔE to the lowest computed polymorph: 141.5 meV per atom

Unit cell a=5.577 b=5.577 c=5.577 alpha=152.77 beta=152.77 gamma=38.89
Sites, in units of the cell vectors:
Co1 0.171 0.171 0.000
Co2 0.829 0.829 0.000
Re1 0.500 0.500 0.000

***

No. 9
# BeFe2Sn

BeFe2Sn after structural relaxation (PBE, Alexandria).

Results
formation enthalpy at 0 K: 0.500 eV/atom
SG: I-42d (122)
ΔE to the lowest computed polymorph: 280.8 meV per atom

Unit cell a=9.110 b=9.110 c=9.110 alpha=156.94 beta=156.94 gamma=32.84
Sites, in units of the cell vectors:
Be1 0.000 0.000 0.000
Be2 0.750 0.250 0.500
Fe1 0.087 0.625 0.962
Fe2 0.375 0.337 0.462
Fe3 0.663 0.125 0.038
Fe4 0.875 0.913 0.538
Sn1 0.250 0.750 0.500
Sn2 0.500 0.500 0.000

***

No. 10
# PRuPtS2

PRuPtS2 after structural relaxation (PBE, Alexandria).

Results
SG: P4/mmm (123)
E_form (uncorrected): 0.866 eV per atom
ΔE to the lowest computed polymorph: 0.0 meV per atom

Unit cell a=4.572 b=4.572 c=4.493 alpha=90.00 beta=90.00 gamma=90.00
Sites, in units of the cell vectors:
P1 0.000 0.000 0.000
Ru1 0.000 0.000 0.500
Pt1 0.500 0.500 0.000
S1 0.000 0.500 0.500
S2 0.500 0.000 0.500

***

No. 11
# TbErCdGa

TbErCdGa after structural relaxation (PBE, Alexandria).

Results
formation enthalpy at 0 K: -0.439 eV/atom
SG: F-43m (216)
ΔE to the lowest computed polymorph: 19.3 meV per atom

Unit cell a=5.164 b=5.164 c=5.164 alpha=60.00 beta=60.00 gamma=60.00
Sites, in units of the cell vectors:
Tb1 0.000 0.000 0.000
Er1 0.500 0.500 0.500
Cd1 0.250 0.250 0.250
Ga1 0.750 0.750 0.750

***

No. 12
# NdTh2I2Br4

NdTh2I2Br4 after structural relaxation (PBE, Alexandria).

Results
SG: P3m1 (156)
E_form (uncorrected): -1.353 eV per atom

Unit cell a=3.982 b=3.982 c=25.003 alpha=90.00 beta=90.00 gamma=120.00
Sites, in units of the cell vectors:
Nd1 0.000 0.000 0.000
Th1 0.000 0.000 0.652
Th2 0.667 0.333 0.329
I1 0.667 0.333 0.087
I2 0.667 0.333 0.913
Br1 0.000 0.000 0.249
Br2 0.000 0.000 0.409
Br3 0.667 0.333 0.572
Br4 0.667 0.333 0.732

***

No. 13
# HfTiAgOs

HfTiAgOs after structural relaxation (PBE, Alexandria).

Results
formation enthalpy at 0 K: -0.239 eV/atom
SG: F-43m (216)

Unit cell a=4.599 b=4.599 c=4.599 alpha=60.00 beta=60.00 gamma=60.00
Sites, in units of the cell vectors:
Hf1 0.000 0.000 0.000
Ti1 0.500 0.500 0.500
Ag1 0.750 0.750 0.750
Os1 0.250 0.250 0.250

***

No. 14
# LiO6F12

LiO6F12 after structural relaxation (PBE, Alexandria).

Results
SG: R-3 (148)
E_form (uncorrected): 0.431 eV per atom

Unit cell a=6.715 b=6.715 c=6.715 alpha=92.30 beta=92.30 gamma=92.30
Sites, in units of the cell vectors:
Li1 0.000 0.000 0.000
O1 0.168 0.183 0.674
O2 0.183 0.674 0.168
O3 0.326 0.832 0.817
O4 0.674 0.168 0.183
O5 0.817 0.326 0.832
O6 0.832 0.817 0.326
F1 0.018 0.550 0.599
F2 0.060 0.719 0.898
F3 0.102 0.940 0.281
F4 0.281 0.102 0.940
F5 0.401 0.982 0.450
F6 0.450 0.401 0.982
F7 0.550 0.599 0.018
F8 0.599 0.018 0.550
F9 0.719 0.898 0.060
F10 0.898 0.060 0.719
F11 0.940 0.281 0.102
F12 0.982 0.450 0.401

***

No. 15
# Be2Zn2Ag

Be2Zn2Ag after structural relaxation (PBE, Alexandria).

Results
formation enthalpy at 0 K: 0.170 eV/atom
SG: P4/mbm (127)
ΔE to the lowest computed polymorph: 0.0 meV per atom

Unit cell a=6.885 b=6.885 c=2.684 alpha=90.00 beta=90.00 gamma=90.00
Sites, in units of the cell vectors:
Be1 0.113 0.387 0.000
Be2 0.387 0.887 0.000
Be3 0.613 0.113 0.000
Be4 0.887 0.613 0.000
Zn1 0.179 0.679 0.500
Zn2 0.321 0.179 0.500
Zn3 0.679 0.821 0.500
Zn4 0.821 0.321 0.500
Ag1 0.000 0.000 0.000
Ag2 0.500 0.500 0.000

***

No. 16
# Sc6AlTl

Sc6AlTl after structural relaxation (PBE, Alexandria).

Results
formation enthalpy at 0 K: -0.226 eV/atom
SG: P4/mmm (123)
ΔE to the lowest computed polymorph: 0.0 meV per atom

Unit cell a=4.478 b=4.478 c=8.941 alpha=90.00 beta=90.00 gamma=90.00
Sites, in units of the cell vectors:
Sc1 0.000 0.000 0.000
Sc2 0.000 0.000 0.500
Sc3 0.000 0.500 0.242
Sc4 0.000 0.500 0.758
Sc5 0.500 0.000 0.242
Sc6 0.500 0.000 0.758
Al1 0.500 0.500 0.000
Tl1 0.500 0.500 0.500

***

No. 17
# KSr2Te

KSr2Te after structural relaxation (PBE, Alexandria).

Results
SG: I-42d (122)
E_form (uncorrected): -0.556 eV per atom

Unit cell a=8.502 b=8.502 c=8.502 alpha=101.47 beta=101.47 gamma=127.03
Sites, in units of the cell vectors:
K1 0.000 0.000 0.000
K2 0.750 0.250 0.500
Sr1 0.221 0.125 0.596
Sr2 0.375 0.779 0.904
Sr3 0.529 0.625 0.404
Sr4 0.875 0.471 0.096
Te1 0.250 0.750 0.500
Te2 0.500 0.500 0.000

***

No. 18
# LaDy8In6

LaDy8In6 after structural relaxation (PBE, Alexandria).

Results
formation enthalpy at 0 K: -0.212 eV/atom
SG: R-3 (148)

Unit cell a=8.340 b=8.340 c=8.340 alpha=66.35 beta=66.35 gamma=66.35
Sites, in units of the cell vectors:
La1 0.000 0.000 0.000
Dy1 0.115 0.782 0.442
Dy2 0.218 0.558 0.885
Dy3 0.332 0.332 0.332
Dy4 0.442 0.115 0.782
Dy5 0.558 0.885 0.218
Dy6 0.668 0.668 0.668
Dy7 0.782 0.442 0.115
Dy8 0.885 0.218 0.558
In1 0.060 0.402 0.717
In2 0.283 0.940 0.598
In3 0.402 0.717 0.060
In4 0.598 0.283 0.940
In5 0.717 0.060 0.402
In6 0.940 0.598 0.283

***

No. 19
# Ac2MnSnPd6

Ac2MnSnPd6 after structural relaxation (PBE, Alexandria).

Results
formation enthalpy at 0 K: -0.577 eV/atom
SG: C2/m (12)

Unit cell a=6.871 b=6.871 c=8.853 alpha=129.86 beta=129.86 gamma=48.49
Sites, in units of the cell vectors:
Ac1 0.243 0.243 0.277
Ac2 0.757 0.757 0.723
Mn1 0.500 0.500 0.000
Sn1 0.000 0.000 0.500
Pd1 0.249 0.742 0.750
Pd2 0.254 0.254 0.912
Pd3 0.258 0.751 0.250
Pd4 0.742 0.249 0.750
Pd5 0.746 0.746 0.088
Pd6 0.751 0.258 0.250

***

No. 20
# KSn12Au7

KSn12Au7 after structural relaxation (PBE, Alexandria).

Results
formation enthalpy at 0 K: -0.106 eV/atom
SG: R-3 (148)

Unit cell a=9.142 b=9.142 c=9.142 alpha=112.55 beta=112.55 gamma=112.55
Sites, in units of the cell vectors:
K1 0.000 0.000 0.000
Sn1 0.024 0.723 0.220
Sn2 0.141 0.435 0.502
Sn3 0.220 0.024 0.723
Sn4 0.277 0.780 0.976
Sn5 0.435 0.502 0.141
Sn6 0.498 0.859 0.565
Sn7 0.502 0.141 0.435
Sn8 0.565 0.498 0.859
Sn9 0.723 0.220 0.024
Sn10 0.780 0.976 0.277
Sn11 0.859 0.565 0.498
Sn12 0.976 0.277 0.780
Au1 0.139 0.469 0.200
Au2 0.200 0.139 0.469
Au3 0.469 0.200 0.139
Au4 0.500 0.500 0.500
Au5 0.531 0.800 0.861
Au6 0.800 0.861 0.531
Au7 0.861 0.531 0.800

***

No. 21
# Ca4SmPb5

Ca4SmPb5 after structural relaxation (PBE, Alexandria).

Results
formation enthalpy at 0 K: -0.509 eV/atom
SG: P4/mmm (123)

Unit cell a=3.591 b=3.591 c=23.188 alpha=90.00 beta=90.00 gamma=90.00
Sites, in units of the cell vectors:
Ca1 0.000 0.000 0.100
Ca2 0.000 0.000 0.299
Ca3 0.000 0.000 0.701
Ca4 0.000 0.000 0.900
Sm1 0.000 0.000 0.500
Pb1 0.500 0.500 0.000
Pb2 0.500 0.500 0.200
Pb3 0.500 0.500 0.400
Pb4 0.500 0.500 0.600
Pb5 0.500 0.500 0.800

***

No. 22
# Zn2CdSe

Zn2CdSe after structural relaxation (PBE, Alexandria).

Results
SG: Immm (71)
E_form (uncorrected): 0.038 eV per atom
ΔE to the lowest computed polymorph: 136.0 meV per atom

Unit cell a=5.421 b=5.421 c=5.421 alpha=141.94 beta=110.02 gamma=82.55
Sites, in units of the cell vectors:
Zn1 0.230 0.230 0.000
Zn2 0.770 0.770 0.000
Cd1 0.500 0.000 0.500
Se1 0.000 0.500 0.500

***

No. 23
# VCrOs

VCrOs after structural relaxation (PBE, Alexandria).

Results
formation enthalpy at 0 K: 0.414 eV/atom
SG: P4/nmm (129)
ΔE to the lowest computed polymorph: 552.8 meV per atom

Unit cell a=3.633 b=3.633 c=6.280 alpha=90.00 beta=90.00 gamma=90.00
Sites, in units of the cell vectors:
V1 0.250 0.750 0.000
V2 0.750 0.250 0.000
Cr1 0.250 0.250 0.297
Cr2 0.750 0.750 0.703
Os1 0.250 0.250 0.665
Os2 0.750 0.750 0.335

***

| no. | density of states at the Fermi level (states/eV/f.u.) | size of the total moment (μB/cell) |
| --- | --- | --- |
| 1 | 6.091 | 3.25 |
| 2 | 9.688 | 0.01 |
| 3 | 3.296 | 0.00 |
| 4 | 12.041 | 0.00 |
| 5 | 9.310 | 2.10 |
| 6 | 3.333 | 0.73 |
| 7 | 6.118 | 0.00 |
| 8 | 3.852 | 1.62 |
| 9 | 3.455 | 8.67 |
| 10 | 7.020 | 0.00 |
| 11 | 3.679 | 0.00 |
| 12 | 0.846 | 0.95 |
| 13 | 2.534 | 0.00 |
| 14 | 4.944 | 17.00 |
| 15 | 0.666 | 0.00 |
| 16 | 9.719 | 2.74 |
| 17 | 5.241 | 0.00 |
| 18 | 21.952 | 0.00 |
| 19 | 4.807 | 4.06 |
| 20 | 7.678 | 0.00 |
| 21 | 8.013 | 0.00 |
| 22 | 1.112 | 0.00 |
| 23 | 3.655 | 0.00 |